1.
A plane-wave DFT calculation with PBE-GGA was carried out for crystalline Ba2Hg2Te at its relaxed geometry.

Lattice parameters (Å, degrees): 6.467 6.467 9.809 90.00 90.00 90.00
Space group I4/mmm (No. 139)
One atom of each set of equivalent atoms:
Ba 0.000 0.500 0.250 [4 per cell]
Hg 0.000 0.000 0.145 [4 per cell]
Te 0.000 0.000 0.500 [2 per cell]

raw formation energy = -0.576 eV/atom
excess energy over the best structure of this formula in the dataset = 0.177 eV per atom

---

2.
A plane-wave DFT calculation with PBE-GGA was carried out for crystalline CdAgSb2 at its relaxed geometry.

Lattice parameters (Å, degrees): 4.408 4.896 9.074 90.00 90.00 90.00
Space group Cmmm (No. 65)
One atom of each set of equivalent atoms:
Cd 0.000 0.000 0.000 [2 per cell]
Ag 0.000 0.000 0.500 [2 per cell]
Sb 0.000 0.500 0.270 [4 per cell]

raw formation energy = 0.150 eV/atom
excess energy over the best structure of this formula in the dataset = 0.071 eV per atom

---

3.
A plane-wave DFT calculation with PBE-GGA was carried out for crystalline CaPmCdIn at its relaxed geometry.

Lattice parameters (Å, degrees): 7.678 7.678 7.678 90.00 90.00 90.00
Space group F-43m (No. 216)
One atom of each set of equivalent atoms:
Ca 0.000 0.000 0.000 [4 per cell]
Pm 0.000 0.000 0.500 [4 per cell]
Cd 0.250 0.250 0.750 [4 per cell]
In 0.250 0.250 0.250 [4 per cell]

ΔE_f = -0.444 eV per atom

---

4.
A plane-wave DFT calculation with PBE-GGA was carried out for crystalline AgC2Cl at its relaxed geometry.

Lattice parameters (Å, degrees): 5.925 5.925 5.925 90.00 90.00 90.00
Space group Fm-3m (No. 225)
One atom of each set of equivalent atoms:
Ag 0.000 0.000 0.000 [4 per cell]
C 0.250 0.250 0.250 [8 per cell]
Cl 0.000 0.000 0.500 [4 per cell]

raw formation energy = 2.965 eV/atom
excess energy over the best structure of this formula in the dataset = 0.495 eV per atom

---

5.
A plane-wave DFT calculation with PBE-GGA was carried out for crystalline CoWS2N at its relaxed geometry.

Lattice parameters (Å, degrees): 4.615 4.615 3.319 90.00 90.00 90.00
Space group P4/mmm (No. 123)
One atom of each set of equivalent atoms:
Co 0.000 0.000 0.000 [1 per cell]
W 0.500 0.500 0.500 [1 per cell]
S 0.000 0.500 0.000 [2 per cell]
N 0.000 0.000 0.500 [1 per cell]

raw formation energy = 0.833 eV/atom
excess energy over the best structure of this formula in the dataset = 0.291 eV per atom

---

6.
A plane-wave DFT calculation with PBE-GGA was carried out for crystalline ErPaGeAs at its relaxed geometry.

Lattice parameters (Å, degrees): 4.1318 4.1318 19.8535 90.00 90.00 120.00
Space group R3m (No. 160, hexagonal axes)
One atom of each set of equivalent atoms:
Er 0.0000 0.0000 0.0000 [3 per cell]
Pa 0.0000 0.0000 0.4987 [3 per cell]
Ge 0.0000 0.0000 0.7509 [3 per cell]
As 0.0000 0.0000 0.2492 [3 per cell]

ΔE_f = -0.961 eV per atom

---

7.
A plane-wave DFT calculation with PBE-GGA was carried out for crystalline SrSi2Pt at its relaxed geometry.

Lattice parameters (Å, degrees): 7.378 4.000 6.084 90.00 111.13 90.00
Space group C2/m (No. 12)
One atom of each set of equivalent atoms:
Sr 0.000 0.000 0.000 [2 per cell]
Si 0.216 0.000 0.631 [4 per cell]
Pt 0.000 0.500 0.500 [2 per cell]

raw formation energy = -0.728 eV/atom

---

8.
A plane-wave DFT calculation with PBE-GGA was carried out for crystalline MnFe2Cu at its relaxed geometry.

Lattice parameters (Å, degrees): 2.928 2.928 5.647 90.00 90.00 90.00
Space group P4mm (No. 99)
One atom of each set of equivalent atoms:
Mn 0.000 0.000 0.000 [1 per cell]
Fe 0.000 0.000 0.520 [1 per cell]
Fe 0.500 0.500 0.747 [1 per cell]
Cu 0.500 0.500 0.261 [1 per cell]

ΔE_f = 0.188 eV per atom

---

9.
A plane-wave DFT calculation with PBE-GGA was carried out for crystalline LiSc2Mn at its relaxed geometry.

Lattice parameters (Å, degrees): 3.275 4.741 9.828 90.00 90.00 90.00
Space group Imm2 (No. 44)
One atom of each set of equivalent atoms:
Li 0.000 0.000 0.000 [2 per cell]
Sc 0.000 0.000 0.458 [2 per cell]
Sc 0.000 0.500 0.244 [2 per cell]
Mn 0.000 0.500 0.711 [2 per cell]

ΔE_f = 0.171 eV per atom

---

| no. | final energy (eV per cell) |
| --- | --- |
| 1 | -20.942 |
| 2 | -22.825 |
| 3 | -48.724 |
| 4 | -45.148 |
| 5 | -32.473 |
| 6 | -81.505 |
| 7 | -42.965 |
| 8 | -29.439 |
| 9 | -46.128 |